This record from the Alexandria database describes a relaxed PmInBi2 crystal. The functional is GGA-PBE.

Lattice parameters (Å, degrees): 3.473 3.473 12.362 81.93 81.93 60.00
Positions (direct):
Bi 0.910 0.910 0.270
Pm 0.500 0.500 0.500
In 0.000 0.000 0.000
Bi 0.090 0.090 0.730

Summary:
Space-group type   R-3m (166)
Formation enthalpy at 0 K   -0.70 eV/f.u.
Polymorph energy (0 for the lowest one)   267.8 meV/atom
Magnetic moment   0.000 μB per formula unit